(1)
Here is a relaxed NaEuTmIn crystal from the Alexandria database. Energies are from PBE-GGA.

Results
M_tot in μB/atom: 1.810
Formation enthalpy at 0 K in eV/atom: -0.109
Calculated volume in A^3/atom: 29.72

Geometry as CIF:
```
data_NaEuTmIn
_cell_length_a 7.8053
_cell_length_b 7.8053
_cell_length_c 7.8053
_cell_angle_alpha 90.00
_cell_angle_beta 90.00
_cell_angle_gamma 90.00
_space_group_name_H-M_alt 'F -4 3 m'
_space_group_IT_number 216
_space_group_name_Hall 'F -4 2 3'
loop_
_atom_site_label
_atom_site_type_symbol
_atom_site_fract_x
_atom_site_fract_y
_atom_site_fract_z
Na1 Na 0.0000 0.0000 0.0000
Eu1 Eu 0.2500 0.2500 0.2500
Tm1 Tm 0.2500 0.2500 0.7500
In1 In 0.0000 0.0000 0.5000
```


(2)
Here is a relaxed NaEuZnIn crystal from the Alexandria database. Energies are from PBE-GGA.

Results
M_tot in μB/atom: 1.770
Formation enthalpy at 0 K in eV/atom: -0.185
Calculated volume in A^3/atom: 24.13

Geometry as CIF:
```
data_NaEuZnIn
_cell_length_a 7.2816
_cell_length_b 7.2816
_cell_length_c 7.2816
_cell_angle_alpha 90.00
_cell_angle_beta 90.00
_cell_angle_gamma 90.00
_space_group_name_H-M_alt 'F -4 3 m'
_space_group_IT_number 216
_space_group_name_Hall 'F -4 2 3'
loop_
_atom_site_label
_atom_site_type_symbol
_atom_site_fract_x
_atom_site_fract_y
_atom_site_fract_z
Na1 Na 0.0000 0.0000 0.0000
Eu1 Eu 0.2500 0.2500 0.7500
Zn1 Zn 0.0000 0.0000 0.5000
In1 In 0.2500 0.2500 0.2500
```


(3)
Here is a relaxed EuNbInSnO6 crystal from the Alexandria database. Energies are from PBE-GGA.

Results
M_tot in μB/atom: 0.700
Total energy in eV/atom: -7.708
Calculated volume in A^3/atom: 14.15

Geometry as CIF:
```
data_EuNbInSnO6
_cell_length_a 8.2717
_cell_length_b 8.2717
_cell_length_c 8.2717
_cell_angle_alpha 90.00
_cell_angle_beta 90.00
_cell_angle_gamma 90.00
_space_group_name_H-M_alt 'F -4 3 m'
_space_group_IT_number 216
_space_group_name_Hall 'F -4 2 3'
loop_
_atom_site_label
_atom_site_type_symbol
_atom_site_fract_x
_atom_site_fract_y
_atom_site_fract_z
Eu1 Eu 0.0000 0.0000 0.0000
Nb1 Nb 0.2500 0.2500 0.7500
In1 In 0.2500 0.2500 0.2500
Sn1 Sn 0.0000 0.0000 0.5000
O1 O 0.0080 0.2500 0.7500
```


(4)
Here is a relaxed NdEuIn4 crystal from the Alexandria database. Energies are from PBE-GGA.

Results
M_tot in μB/atom: 1.244
Formation enthalpy at 0 K in eV/atom: -0.413
Calculated volume in A^3/atom: 27.14

Geometry as CIF:
```
data_NdEuIn4
_cell_length_a 8.6688
_cell_length_b 8.6688
_cell_length_c 8.6688
_cell_angle_alpha 90.00
_cell_angle_beta 90.00
_cell_angle_gamma 90.00
_space_group_name_H-M_alt 'F -4 3 m'
_space_group_IT_number 216
_space_group_name_Hall 'F -4 2 3'
loop_
_atom_site_label
_atom_site_type_symbol
_atom_site_fract_x
_atom_site_fract_y
_atom_site_fract_z
Nd1 Nd 0.0000 0.0000 0.0000
Eu1 Eu 0.2500 0.2500 0.7500
In1 In 0.1251 0.1251 0.3749
```


(5)
Here is a relaxed NdEuIn crystal from the Alexandria database. Energies are from PBE-GGA.

Results
M_tot in μB/atom: 2.608
Formation enthalpy at 0 K in eV/atom: -0.275
Calculated volume in A^3/atom: 32.92

Geometry as CIF:
```
data_NdEuIn
_cell_length_a 3.8403
_cell_length_b 3.8403
_cell_length_c 13.3931
_cell_angle_alpha 90.00
_cell_angle_beta 90.00
_cell_angle_gamma 90.00
_space_group_name_H-M_alt 'I 4 m m'
_space_group_IT_number 107
_space_group_name_Hall 'I 4 -2'
loop_
_atom_site_label
_atom_site_type_symbol
_atom_site_fract_x
_atom_site_fract_y
_atom_site_fract_z
Nd1 Nd 0.0000 0.0000 0.0000
Eu1 Eu 0.0000 0.0000 0.7022
In1 In 0.0000 0.0000 0.3565
```


(6)
Here is a relaxed NdEuIn crystal from the Alexandria database. Energies are from PBE-GGA.

Results
M_tot in μB/atom: 2.489
Formation enthalpy at 0 K in eV/atom: -0.126
Calculated volume in A^3/atom: 37.62

Geometry as CIF:
```
data_NdEuIn
_cell_length_a 7.6712
_cell_length_b 7.6712
_cell_length_c 7.6712
_cell_angle_alpha 90.00
_cell_angle_beta 90.00
_cell_angle_gamma 90.00
_space_group_name_H-M_alt 'F -4 3 m'
_space_group_IT_number 216
_space_group_name_Hall 'F -4 2 3'
loop_
_atom_site_label
_atom_site_type_symbol
_atom_site_fract_x
_atom_site_fract_y
_atom_site_fract_z
Nd1 Nd 0.0000 0.0000 0.0000
Eu1 Eu 0.0000 0.0000 0.5000
In1 In 0.2500 0.2500 0.7500
```


(7)
Here is a relaxed NdEuIn crystal from the Alexandria database. Energies are from PBE-GGA.

Results
M_tot in μB/atom: 2.350
Formation enthalpy at 0 K in eV/atom: -0.240
Calculated volume in A^3/atom: 31.31

Geometry as CIF:
```
data_NdEuIn
_cell_length_a 5.4390
_cell_length_b 5.4390
_cell_length_c 3.6666
_cell_angle_alpha 90.00
_cell_angle_beta 90.00
_cell_angle_gamma 120.00
_space_group_name_H-M_alt 'P 3 m 1'
_space_group_IT_number 156
loop_
_space_group_symop_operation_xyz
'x,y,z'
'-y,x-y,z'
'-x+y,-x,z'
'-y,-x,z'
'-x+y,y,z'
'x,x-y,z'
loop_
_atom_site_label
_atom_site_type_symbol
_atom_site_fract_x
_atom_site_fract_y
_atom_site_fract_z
Nd1 Nd 0.0000 0.0000 0.0000
Eu1 Eu 0.6667 0.3333 0.3919
In1 In 0.3333 0.6667 0.7208
```


(8)
Here is a relaxed Nd2EuIn crystal from the Alexandria database. Energies are from PBE-GGA.

Results
M_tot in μB/atom: 1.895
Formation enthalpy at 0 K in eV/atom: 0.019
Calculated volume in A^3/atom: 35.28

Geometry as CIF:
```
data_Nd2EuIn
_cell_length_a 3.6615
_cell_length_b 3.6615
_cell_length_c 36.4614
_cell_angle_alpha 90.00
_cell_angle_beta 90.00
_cell_angle_gamma 120.00
_space_group_name_H-M_alt 'R -3 m'
_space_group_IT_number 166
_space_group_name_Hall '-R 3 2"'
loop_
_atom_site_label
_atom_site_type_symbol
_atom_site_fract_x
_atom_site_fract_y
_atom_site_fract_z
Nd1 Nd 0.0000 0.0000 0.0972
Eu1 Eu 0.0000 0.0000 0.0000
In1 In 0.0000 0.0000 0.5000
```


(9)
Here is a relaxed NdEuIn2 crystal from the Alexandria database. Energies are from PBE-GGA.

Results
M_tot in μB/atom: 1.819
Formation enthalpy at 0 K in eV/atom: -0.460
Calculated volume in A^3/atom: 29.41

Geometry as CIF:
```
data_NdEuIn2
_cell_length_a 5.1095
_cell_length_b 5.1095
_cell_length_c 4.5066
_cell_angle_alpha 90.00
_cell_angle_beta 90.00
_cell_angle_gamma 90.00
_space_group_name_H-M_alt 'P 4/m m m'
_space_group_IT_number 123
_space_group_name_Hall '-P 4 2'
loop_
_atom_site_label
_atom_site_type_symbol
_atom_site_fract_x
_atom_site_fract_y
_atom_site_fract_z
Nd1 Nd 0.0000 0.0000 0.0000
Eu1 Eu 0.5000 0.5000 0.0000
In1 In 0.0000 0.5000 0.5000
```


(10)
Here is a relaxed NdEu2In crystal from the Alexandria database. Energies are from PBE-GGA.

Results
M_tot in μB/atom: 3.751
Formation enthalpy at 0 K in eV/atom: 0.027
Calculated volume in A^3/atom: 35.53

Geometry as CIF:
```
data_NdEu2In
_cell_length_a 3.6479
_cell_length_b 3.6479
_cell_length_c 36.9950
_cell_angle_alpha 90.00
_cell_angle_beta 90.00
_cell_angle_gamma 120.00
_space_group_name_H-M_alt 'R -3 m'
_space_group_IT_number 166
_space_group_name_Hall '-R 3 2"'
loop_
_atom_site_label
_atom_site_type_symbol
_atom_site_fract_x
_atom_site_fract_y
_atom_site_fract_z
Nd1 Nd 0.0000 0.0000 0.0000
Eu1 Eu 0.0000 0.0000 0.0954
In1 In 0.0000 0.0000 0.5000
```


(11)
Here is a relaxed NdEuIn2 crystal from the Alexandria database. Energies are from PBE-GGA.

Results
M_tot in μB/atom: 1.792
Formation enthalpy at 0 K in eV/atom: -0.477
Calculated volume in A^3/atom: 29.93

Geometry as CIF:
```
data_NdEuIn2
_cell_length_a 3.9061
_cell_length_b 3.9061
_cell_length_c 7.8477
_cell_angle_alpha 90.00
_cell_angle_beta 90.00
_cell_angle_gamma 90.00
_space_group_name_H-M_alt 'P 4/m m m'
_space_group_IT_number 123
_space_group_name_Hall '-P 4 2'
loop_
_atom_site_label
_atom_site_type_symbol
_atom_site_fract_x
_atom_site_fract_y
_atom_site_fract_z
Nd1 Nd 0.0000 0.0000 0.0000
Eu1 Eu 0.0000 0.0000 0.5000
In1 In 0.5000 0.5000 0.2436
```


(12)
Here is a relaxed NdEu2In crystal from the Alexandria database. Energies are from PBE-GGA.

Results
M_tot in μB/atom: 3.966
Formation enthalpy at 0 K in eV/atom: -0.097
Calculated volume in A^3/atom: 32.41

Geometry as CIF:
```
data_NdEu2In
_cell_length_a 8.0340
_cell_length_b 8.0340
_cell_length_c 8.0340
_cell_angle_alpha 90.00
_cell_angle_beta 90.00
_cell_angle_gamma 90.00
_space_group_name_H-M_alt 'F m -3 m'
_space_group_IT_number 225
_space_group_name_Hall '-F 4 2 3'
loop_
_atom_site_label
_atom_site_type_symbol
_atom_site_fract_x
_atom_site_fract_y
_atom_site_fract_z
Nd1 Nd 0.0000 0.0000 0.0000
Eu1 Eu 0.2500 0.2500 0.2500
In1 In 0.0000 0.0000 0.5000
```


Mass density across the listed records, respectively: 6.407, 6.111, 6.741, 7.703, 6.911, 6.048, 7.266, 6.534, 7.421, 6.578, 7.292, 7.211 g/cm3.